(a)
TbTh2Re | GGA-PBE | optimized geometry

extended XYZ file:
```
4
Lattice="-3.3717 -1.7191 -0.9573 -0.0775 -3.8108 -0.8440 -2.8641 -4.0059 9.3218" Properties=species:S:1:pos:R:3 pbc="T T T"
Re -3.1566 -4.7679 3.7603
Tb 0.0000 0.0000 0.0000
Th -2.2845 -3.2747 5.9672
Th -4.0288 -6.2610 1.5533
```

Calculated values
Theoretical density ... 9.886 g/cm³
Total magnetic moment ... 0.00 μB/f.u.

(b)
TbTh2Re | GGA-PBE | optimized geometry

extended XYZ file:
```
4
Lattice="3.5507 0.0000 0.0000 0.0000 3.5507 0.0000 0.0000 0.0000 8.7167" Properties=species:S:1:pos:R:3 pbc="T T T"
Re 1.7753 1.7753 0.0000
Tb 1.7753 1.7753 4.3584
Th 0.0000 0.0000 6.9285
Th 0.0000 0.0000 1.7883
```

Calculated values
Theoretical density ... 12.227 g/cm³
Total magnetic moment ... 0.00 μB/f.u.

Which structure is the most stable? The one labeled (b).

(a)
TbURe | GGA-PBE | optimized geometry

extended XYZ file:
```
6
Lattice="-3.0524 2.9615 -2.3548 2.0389 -1.0906 -4.0145 -4.3929 -5.1822 -0.8233" Properties=species:S:1:pos:R:3 pbc="T T T"
Re -4.6266 -2.1768 -1.7584
Re -0.2729 -2.0699 -2.2495
U -2.0027 -2.3626 -0.3753
U -2.8969 -1.8842 -3.6326
Tb -0.6875 0.7222 -3.2186
Tb -4.2121 -4.9689 -0.7894
```

Calculated values
Theoretical density ... 12.566 g/cm³
Total magnetic moment ... 1.79 μB/f.u.

(b)
TbURe | GGA-PBE | optimized geometry

extended XYZ file:
```
3
Lattice="3.4682 0.0000 0.0000 0.0000 3.4682 0.0000 -1.7341 -1.7341 5.5102" Properties=species:S:1:pos:R:3 pbc="T T T"
Re 0.0000 0.0000 3.3725
Tb 1.7341 1.7341 5.4825
U 1.7341 1.7341 2.1653
```

Calculated values
Theoretical density ... 14.610 g/cm³
Total magnetic moment ... 0.25 μB/f.u.

Which structure is the most stable? The one labeled (b).

(a)
ReTc3 | GGA-PBE | optimized geometry

extended XYZ file:
```
4
Lattice="-0.9548 -4.6612 0.3968 1.0037 0.0142 2.5818 -4.0108 -1.3638 3.0528" Properties=species:S:1:pos:R:3 pbc="T T T"
Re -0.9539 -4.6570 0.3965
Tc -1.3310 -1.0728 3.4954
Tc 0.0286 -2.3031 1.4876
Tc -2.3177 -3.4087 2.4058
```

Calculated values
Theoretical density ... 13.602 g/cm³
Total magnetic moment ... 0.00 μB/f.u.

(b)
ReTc3 | GGA-PBE | optimized geometry

extended XYZ file:
```
4
Lattice="2.6575 -0.0029 0.6723 1.6168 4.4099 -0.8189 -0.0299 -2.3911 5.6793" Properties=species:S:1:pos:R:3 pbc="T T T"
Re 0.0000 0.0000 0.0000
Tc 0.7935 1.0094 2.4302
Tc 2.5315 2.7110 1.1498
Tc 1.7130 -0.6951 4.3829
```

Calculated values
Theoretical density ... 13.545 g/cm³
Total magnetic moment ... 0.00 μB/f.u.

Which structure is the most stable? The one labeled (a).